Density functional theory data (meta-GGA SCAN) for a crystal of Lu2AlNi2 relaxed with PBEsol.

Geometry as POSCAR:
```
Lu2AlNi2
1.0
-0.6581 -3.9949 -0.6447
1.6502 -3.0034 3.8911
-3.4598 -2.0608 3.2660
Al Ni Lu
1 2 2
direct
0.0000 0.0000 0.0000
0.5000 0.7328 0.2672
0.5000 0.2672 0.7328
0.2023 0.2977 0.2977
0.7977 0.7023 0.7023
```

E: -30.81 eV per atom
magnetization: 0.0 μB/f.u.
formation energy from the elements: -0.6520 eV/atom

=====

Density functional theory data (meta-GGA SCAN) for a crystal of LuAl2Ni relaxed with PBEsol.

Geometry as POSCAR:
```
LuAl2Ni
1.0
-3.2586 2.3210 -0.2116
0.2035 -2.7652 4.4608
3.4132 5.0640 2.9835
Al Ni Lu
4 2 2
direct
0.3486 0.6972 0.0532
0.6514 0.3028 0.9468
0.3486 0.6972 0.4468
0.6514 0.3028 0.5532
0.7858 0.5716 0.2500
0.2142 0.4284 0.7500
0.0637 0.1275 0.2500
0.9363 0.8725 0.7500
```

E: -22.48 eV per atom
magnetization: 0.0 μB/f.u.
formation energy from the elements: -0.7214 eV/atom

=====

Density functional theory data (meta-GGA SCAN) for a crystal of Lu3AlO6 relaxed with PBEsol.

Geometry as POSCAR:
```
Lu3AlO6
1.0
5.2171 0.0000 0.0000
0.0000 6.8387 0.0076
0.0000 -1.5186 6.6680
O Lu Al
12 6 2
direct
0.3257 0.2154 0.7846
0.8166 0.1069 0.5789
0.8257 0.7846 0.2154
0.3554 0.9589 0.0411
0.2967 0.3217 0.3568
0.8166 0.4211 0.8931
0.7967 0.3568 0.3217
0.3166 0.5789 0.1069
0.3166 0.8931 0.4211
0.8554 0.0411 0.9589
0.2967 0.6432 0.6783
0.7967 0.6783 0.6432
0.5227 0.2975 0.0870
0.5717 0.3980 0.6020
0.5227 0.9130 0.7025
0.0227 0.7025 0.9130
0.0717 0.6020 0.3980
0.0227 0.0870 0.2975
0.4898 0.8050 0.1950
0.9898 0.1950 0.8050
```

E: -24.99 eV per atom
uncorrected formation energy: -38.7 eV per formula unit
E above lowest polymorph: 0.06 eV per formula unit
magnetization: 0.0 μB/f.u.

=====

Density functional theory data (meta-GGA SCAN) for a crystal of Lu3AlO6 relaxed with PBEsol.

Geometry as POSCAR:
```
Lu3AlO6
1.0
6.2253 -0.0210 -0.0218
-0.2395 6.2207 -0.0218
-0.2395 -0.2481 6.2158
O Lu Al
12 6 2
direct
0.5431 0.2046 0.4154
0.5846 0.4569 0.7954
0.9300 0.0746 0.7029
0.0746 0.7029 0.9300
0.0700 0.9254 0.2971
0.4154 0.5431 0.2046
0.9254 0.2971 0.0700
0.7954 0.5846 0.4569
0.2971 0.0700 0.9254
0.2046 0.4154 0.5431
0.7029 0.9300 0.0746
0.4569 0.7954 0.5846
0.2551 0.0714 0.5655
0.0714 0.5655 0.2551
0.5655 0.2551 0.0714
0.7449 0.9286 0.4345
0.4345 0.7449 0.9286
0.9286 0.4345 0.7449
0.5000 0.5000 0.5000
0.0000 0.0000 0.0000
```

E: -25.00 eV per atom
uncorrected formation energy: -38.8 eV per formula unit
E above lowest polymorph: 0.00 eV per formula unit
magnetization: 0.0 μB/f.u.

=====

Density functional theory data (meta-GGA SCAN) for a crystal of Lu3Al5O12 relaxed with PBEsol.

Geometry as POSCAR:
```
Lu3Al5O12
1.0
10.2514 0.0000 0.0000
-3.4171 9.6651 0.0000
-3.4171 -4.8326 8.3702
Lu O Al
12 48 20
direct
0.3750 0.1250 0.2500
0.7500 0.3750 0.6250
0.3750 0.2500 0.6250
0.1250 0.3750 0.7500
0.1250 0.7500 0.8750
0.6250 0.7500 0.3750
0.7500 0.8750 0.1250
0.2500 0.6250 0.3750
0.8750 0.6250 0.2500
0.2500 0.1250 0.8750
0.6250 0.8750 0.7500
0.8750 0.2500 0.1250
0.2037 0.0251 0.6210
0.0827 0.4041 0.3790
0.6786 0.9749 0.5959
0.6786 0.7037 0.5827
0.8790 0.0827 0.9041
0.9749 0.8790 0.2963
0.3790 0.9041 0.0827
0.5959 0.4749 0.6786
0.2963 0.9173 0.8214
0.9173 0.5959 0.6210
0.3790 0.4749 0.7963
0.4749 0.1786 0.0959
0.3214 0.2963 0.4173
0.4173 0.6210 0.5959
0.8214 0.4173 0.2963
0.1210 0.9173 0.0959
0.6210 0.5251 0.2037
0.5827 0.2037 0.6786
0.4749 0.2963 0.8790
0.5959 0.1210 0.4173
0.3214 0.0251 0.4041
0.8790 0.7963 0.4749
0.5251 0.7037 0.1210
0.5251 0.8214 0.9041
0.9173 0.3214 0.7963
0.7037 0.6210 0.0251
0.0959 0.6786 0.4749
0.4041 0.8790 0.5827
0.8214 0.4041 0.0251
0.9749 0.0959 0.1786
0.7963 0.9749 0.3790
0.0251 0.1210 0.7037
0.1786 0.5827 0.7037
0.4041 0.5251 0.3214
0.7963 0.8214 0.9173
0.0827 0.6786 0.2037
0.2963 0.3790 0.9749
0.6210 0.0959 0.9173
0.7037 0.0827 0.1786
0.0251 0.9041 0.8214
0.9041 0.5827 0.8790
0.1786 0.5959 0.9749
0.5827 0.3790 0.4041
0.4173 0.7963 0.3214
0.2037 0.1786 0.0827
0.1210 0.2037 0.5251
0.9041 0.3214 0.5251
0.0959 0.4173 0.1210
0.5000 0.0000 0.5000
0.5000 0.0000 0.0000
0.0000 0.5000 0.0000
0.2500 0.3750 0.1250
0.0000 0.5000 0.5000
0.6250 0.3750 0.2500
0.3750 0.6250 0.7500
0.0000 0.0000 0.0000
0.8750 0.1250 0.7500
0.5000 0.5000 0.5000
0.1250 0.8750 0.2500
0.1250 0.2500 0.3750
0.5000 0.5000 0.0000
0.7500 0.1250 0.3750
0.3750 0.7500 0.1250
0.8750 0.7500 0.6250
0.0000 0.0000 0.5000
0.7500 0.6250 0.8750
0.6250 0.2500 0.8750
0.2500 0.8750 0.6250
```

E: -17.65 eV per atom
uncorrected formation energy: -73.3 eV per formula unit
magnetization: 0.0 μB/f.u.

=====

Density functional theory data (meta-GGA SCAN) for a crystal of Lu4Al2O9 relaxed with PBEsol.

Geometry as POSCAR:
```
Lu4Al2O9
1.0
-5.5237 -0.4177 4.3929
-3.4761 -8.0166 -5.1331
8.0216 -6.1432 4.1618
O Lu Al
36 16 8
direct
0.1654 0.9996 0.6096
0.4632 0.2375 0.2537
0.1654 0.5004 0.1096
0.5262 0.4877 0.3333
0.5262 0.0123 0.8333
0.8130 0.7353 0.4747
0.4738 0.5123 0.6667
0.4632 0.2625 0.7537
0.8346 0.0004 0.3904
0.8212 0.2257 0.8866
0.5368 0.7625 0.7463
0.4738 0.9877 0.1667
0.1870 0.2647 0.5253
0.0240 0.2506 0.7318
0.1870 0.2353 0.0253
0.0693 0.9975 0.8613
0.3107 0.0067 0.3937
0.3836 0.7603 0.9562
0.9760 0.7494 0.2682
0.3836 0.7397 0.4562
0.3107 0.4933 0.8937
0.1788 0.7743 0.1134
0.8346 0.4996 0.8904
0.6893 0.5067 0.1063
0.8212 0.2743 0.3866
0.9307 0.0025 0.1387
0.0240 0.2494 0.2318
0.6164 0.2603 0.5438
0.1788 0.7257 0.6134
0.6164 0.2397 0.0438
0.9307 0.4975 0.6387
0.6893 0.9933 0.6063
0.0693 0.5025 0.3613
0.5368 0.7375 0.2463
0.8130 0.7647 0.9747
0.9760 0.7506 0.7682
0.5847 0.8852 0.4097
0.7356 0.1200 0.2191
0.7743 0.6008 0.3009
0.2644 0.6200 0.2809
0.7743 0.8992 0.8009
0.4153 0.1148 0.5903
0.4153 0.3852 0.0903
0.0930 0.6317 0.9432
0.0930 0.8683 0.4432
0.2644 0.8800 0.7809
0.9070 0.1317 0.5568
0.2257 0.1008 0.1991
0.5847 0.6148 0.9097
0.9070 0.3683 0.0568
0.2257 0.3992 0.6991
0.7356 0.3800 0.7191
0.4136 0.6723 0.6091
0.5864 0.1723 0.8909
0.5864 0.3277 0.3909
0.9480 0.6671 0.6217
0.0520 0.3329 0.3783
0.4136 0.8277 0.1091
0.9480 0.8329 0.1217
0.0520 0.1671 0.8783
```

E: -23.33 eV per atom
uncorrected formation energy: -57.1 eV per formula unit
magnetization: 0.0 μB/f.u.

=====

Density functional theory data (meta-GGA SCAN) for a crystal of LuAlPd relaxed with PBEsol.

Geometry as POSCAR:
```
LuAlPd
1.0
-0.5955 -3.9148 -0.0833
6.7789 -1.0050 -1.2260
-2.3584 0.2194 6.5465
Al Lu Pd
3 3 3
direct
0.5000 0.0000 0.2417
0.5000 0.2417 0.0000
0.5000 0.7583 0.7583
0.0000 0.0000 0.5847
0.0000 0.4153 0.4153
0.0000 0.5847 0.0000
0.5000 0.3333 0.6667
0.5000 0.6667 0.3333
0.0000 0.0000 0.0000
```

E: -32.98 eV per atom
magnetization: 0.0 μB/f.u.
formation energy from the elements: -1.0240 eV/atom

=====

Density functional theory data (meta-GGA SCAN) for a crystal of LuAlSi relaxed with PBEsol.

Geometry as POSCAR:
```
LuAlSi
1.0
-3.1272 0.2153 2.3993
0.9811 -5.0271 -1.5174
3.3320 -0.6790 4.4038
Si Lu Al
2 2 2
direct
0.3979 0.7958 0.2500
0.6021 0.2042 0.7500
0.6954 0.3908 0.2500
0.3046 0.6092 0.7500
0.0000 0.0000 0.0000
0.0000 0.0000 0.5000
```

E: -24.98 eV per atom
uncorrected formation energy: -1.8 eV per formula unit
magnetization: 0.0 μB/f.u.